MgCrAg2F6: optimized geometry, PBE with a Hubbard U.

a = 5.8264 Å, b = 5.8353 Å, c = 5.6341 Å
α = 60.95°, β = 61.07°, γ = 57.57°
Positions (direct):
1 F 0.0156 0.5211 0.3451
2 F 0.1842 0.9962 0.2845
3 F 0.4481 0.6360 0.8184
4 F 0.6140 0.1248 0.2520
5 F 0.0184 0.5076 0.8510
6 F 0.6167 0.1113 0.7580
7 Mg 0.3161 0.3161 0.0517
8 Ag 0.5732 0.5564 0.3044
9 Ag 0.0592 0.0759 0.7986
10 Cr 0.8161 0.8162 0.5516

Summary:
**Symmetry**: No. 2
**Raw total energy**: -4.818 eV per atom